1.
Density functional theory data (GGA-PBE) for a geometry-optimized Ac3Tc5N12 structure.

Lattice parameters (Å, degrees): 11.426 11.426 11.426 109.47 109.47 109.47
Element x y z (fractional)
1 N 0.610 0.608 0.923
2 N 0.577 0.890 0.392
3 Tc 0.000 0.500 0.000
4 Ac 0.750 0.375 0.125
5 Ac 0.875 0.125 0.250
6 Tc 0.000 0.000 0.500
7 N 0.815 0.923 0.313
8 N 0.502 0.315 0.892
9 N 0.813 0.315 0.923
10 Tc 0.375 0.125 0.750
11 N 0.187 0.502 0.610
12 Tc 0.000 0.000 0.000
13 N 0.108 0.185 0.498
14 Ac 0.125 0.875 0.750
15 N 0.110 0.423 0.108
16 Ac 0.875 0.750 0.125
17 N 0.187 0.685 0.077
18 Tc 0.000 0.500 0.500
19 N 0.892 0.815 0.502
20 N 0.998 0.390 0.313
21 Tc 0.500 0.000 0.500
22 N 0.392 0.390 0.577
23 N 0.315 0.502 0.392
24 Ac 0.250 0.625 0.875
25 Ac 0.750 0.875 0.625
26 Ac 0.125 0.250 0.875
27 Tc 0.750 0.625 0.375
28 N 0.108 0.923 0.110
29 N 0.502 0.187 0.110
30 Tc 0.750 0.125 0.875
31 Tc 0.875 0.625 0.750
32 N 0.608 0.610 0.423
33 N 0.002 0.610 0.687
34 N 0.110 0.687 0.502
35 N 0.890 0.313 0.498
36 N 0.890 0.577 0.892
37 N 0.002 0.392 0.815
38 N 0.923 0.815 0.813
39 N 0.313 0.423 0.815
40 Ac 0.625 0.375 0.750
41 Tc 0.250 0.375 0.625
42 Ac 0.625 0.250 0.375
43 N 0.923 0.108 0.610
44 Tc 0.875 0.250 0.625
45 N 0.185 0.077 0.687
46 N 0.498 0.813 0.890
47 N 0.498 0.685 0.108
48 Tc 0.500 0.500 0.000
49 Tc 0.500 0.500 0.500
50 N 0.685 0.187 0.577
51 N 0.077 0.892 0.390
52 Tc 0.500 0.000 0.000
53 N 0.315 0.813 0.423
54 Ac 0.250 0.125 0.375
55 N 0.077 0.185 0.187
56 Tc 0.625 0.875 0.250
57 N 0.687 0.110 0.002
58 N 0.813 0.498 0.390
59 N 0.892 0.077 0.890
60 N 0.815 0.892 0.002
61 N 0.423 0.313 0.315
62 N 0.610 0.002 0.187
63 N 0.185 0.108 0.998
64 Tc 0.125 0.375 0.250
65 Ac 0.375 0.625 0.250
66 N 0.390 0.998 0.813
67 Tc 0.250 0.875 0.125
68 N 0.577 0.687 0.685
69 Tc 0.375 0.250 0.125
70 N 0.685 0.498 0.608
71 Tc 0.125 0.750 0.375
72 N 0.687 0.577 0.185
73 N 0.313 0.890 0.998
74 Tc 0.625 0.750 0.875
75 N 0.390 0.392 0.077
76 N 0.608 0.998 0.685
77 Ac 0.375 0.750 0.625
78 N 0.392 0.002 0.315
79 N 0.998 0.608 0.185
80 N 0.423 0.110 0.608

Calculated values
As for the total magnetization: 0.0 Bohr magnetons per cell. Its space group is No. 230.



2.
Density functional theory data (GGA-PBE) for a geometry-optimized PuCdGa2O8 structure.

Lattice parameters (Å, degrees): 4.869 4.864 6.294 90.00 90.00 91.42
Element x y z (fractional)
1 O 0.203 0.796 0.218
2 O 0.797 0.204 0.782
3 O 0.688 0.690 0.000
4 Pu 0.000 0.000 0.000
5 O 0.325 0.323 0.500
6 O 0.203 0.796 0.782
7 Ga 0.500 0.500 0.747
8 O 0.312 0.310 0.000
9 Cd 0.000 0.000 0.500
10 Ga 0.500 0.500 0.253
11 O 0.675 0.677 0.500
12 O 0.797 0.204 0.218

Calculated values
As for the total magnetization: 1.6 Bohr magnetons per cell. Its space group is No. 10.



3.
Density functional theory data (GGA-PBE) for a geometry-optimized AcLa3Y6Er2 structure.

Lattice parameters (Å, degrees): 6.303 6.303 11.999 95.01 95.01 120.01
Element x y z (fractional)
1 Y 0.420 0.084 0.249
2 Y 0.580 0.916 0.751
3 Er 0.667 0.333 0.000
4 Er 0.333 0.667 0.000
5 La 0.833 0.167 0.500
6 Ac 0.000 0.000 0.000
7 Y 0.253 0.253 0.751
8 La 0.167 0.833 0.500
9 Y 0.084 0.420 0.249
10 Y 0.916 0.580 0.751
11 Y 0.747 0.747 0.249
12 La 0.500 0.500 0.500

Calculated values
The energy of formation from the pure elements comes out at 0.29 eV/f.u. As for the total magnetization: 0.0 Bohr magnetons per cell. Its space group is No. 12.



4.
Density functional theory data (GGA-PBE) for a geometry-optimized Li6AlCd3 structure.

Lattice parameters (Å, degrees): 5.205 8.634 8.634 107.21 90.00 90.00
Element x y z (fractional)
1 Li 0.908 0.441 0.029
2 Cd 0.947 0.115 0.302
3 Li 0.543 0.571 0.674
4 Cd 0.583 0.635 0.365
5 Li 0.043 0.674 0.571
6 Cd 0.447 0.302 0.115
7 Cd 0.083 0.365 0.635
8 Li 0.543 0.326 0.429
9 Li 0.908 0.971 0.559
10 Li 0.043 0.429 0.326
11 Cd 0.947 0.698 0.885
12 Li 0.646 0.249 0.751
13 Li 0.408 0.029 0.441
14 Li 0.408 0.559 0.971
15 Cd 0.447 0.885 0.698
16 Li 0.146 0.751 0.249
17 Li 0.776 0.043 0.957
18 Al 0.684 0.831 0.169
19 Al 0.184 0.169 0.831
20 Li 0.276 0.957 0.043

Calculated values
The energy of formation from the pure elements comes out at -1.18 eV/f.u. As for the total magnetization: 0.0 Bohr magnetons per cell. Its space group is No. 36.



5.
Density functional theory data (GGA-PBE) for a geometry-optimized TiBeCo4 structure.

Lattice parameters (Å, degrees): 3.707 3.707 9.912 100.78 100.78 89.96
Element x y z (fractional)
1 Co 0.649 0.149 0.798
2 Co 0.149 0.649 0.798
3 Ti 0.250 0.250 0.000
4 Be 0.500 0.000 0.500
5 Ti 0.750 0.750 0.000
6 Co 0.931 0.931 0.362
7 Co 0.851 0.351 0.202
8 Co 0.431 0.431 0.362
9 Co 0.069 0.069 0.638
10 Co 0.351 0.851 0.202
11 Be 0.000 0.500 0.500
12 Co 0.569 0.569 0.638

Calculated values
The energy of formation from the pure elements comes out at -0.85 eV/f.u. As for the total magnetization: 9.2 Bohr magnetons per cell. Its space group is No. 123.



6.
Density functional theory data (GGA-PBE) for a geometry-optimized Pm2Be4ZnIr3 structure.

Lattice parameters (Å, degrees): 4.002 4.002 9.658 90.00 90.00 90.00
Element x y z (fractional)
1 Ir 0.000 0.000 0.500
2 Ir 0.000 0.500 0.123
3 Ir 0.500 0.000 0.877
4 Be 0.000 0.500 0.370
5 Pm 0.000 0.500 0.755
6 Pm 0.500 0.000 0.245
7 Zn 0.500 0.500 0.500
8 Be 0.500 0.000 0.630
9 Be 0.500 0.500 0.000
10 Be 0.000 0.000 0.000

Calculated values
The energy of formation from the pure elements comes out at -4.94 eV/f.u. As for the total magnetization: 0.0 Bohr magnetons per cell. Its space group is No. 115.



7.
Density functional theory data (GGA-PBE) for a geometry-optimized K3CrTc structure.

Lattice parameters (Å, degrees): 6.365 6.365 6.365 90.00 90.00 90.00
Element x y z (fractional)
1 Tc 0.000 0.000 0.000
2 Cr 0.500 0.500 0.500
3 K 0.000 0.500 0.000
4 K 0.000 0.000 0.500
5 K 0.500 0.000 0.000

Calculated values
The energy of formation from the pure elements comes out at 8.19 eV/f.u. As for the total magnetization: 2.0 Bohr magnetons per cell. Its space group is No. 221.



8.
Density functional theory data (GGA-PBE) for a geometry-optimized Ce2FeTc3 structure.

Lattice parameters (Å, degrees): 5.161 5.161 5.335 99.39 115.64 112.59
Element x y z (fractional)
1 Fe 0.000 0.000 0.000
2 Tc 0.500 0.000 0.500
3 Tc 0.500 0.500 0.500
4 Ce 0.750 0.378 0.128
5 Ce 0.250 0.622 0.872
6 Tc 0.000 0.000 0.500

Calculated values
The energy of formation from the pure elements comes out at -0.57 eV/f.u. As for the total magnetization: 1.7 Bohr magnetons per cell. Its space group is No. 12.



9.
Density functional theory data (GGA-PBE) for a geometry-optimized Nd6SmAl structure.

Lattice parameters (Å, degrees): 9.011 9.004 6.396 45.26 45.22 60.53
Element x y z (fractional)
1 Nd 0.760 0.004 0.740
2 Nd 0.240 0.996 0.260
3 Nd 0.996 0.496 0.748
4 Sm 0.500 0.500 0.500
5 Nd 0.004 0.504 0.252
6 Nd 0.495 0.240 0.260
7 Al 0.000 0.000 0.000
8 Nd 0.505 0.760 0.740

Calculated values
The energy of formation from the pure elements comes out at 0.49 eV/f.u. As for the total magnetization: 0.0 Bohr magnetons per cell. Its space group is No. 2.



10.
Density functional theory data (GGA-PBE) for a geometry-optimized Ta3Ga2Rh6 structure.

Lattice parameters (Å, degrees): 3.708 3.708 13.520 97.88 97.88 90.00
Element x y z (fractional)
1 Rh 0.275 0.275 0.550
2 Ga 0.633 0.633 0.266
3 Rh 0.570 0.070 0.140
4 Rh 0.070 0.570 0.140
5 Ta 0.178 0.178 0.355
6 Rh 0.725 0.725 0.450
7 Ga 0.367 0.367 0.734
8 Ta 0.822 0.822 0.645
9 Rh 0.430 0.930 0.860
10 Rh 0.930 0.430 0.860
11 Ta 0.000 0.000 0.000

Calculated values
The energy of formation from the pure elements comes out at -1.29 eV/f.u. As for the total magnetization: 0.0 Bohr magnetons per cell. Its space group is No. 139.



11.
Density functional theory data (GGA-PBE) for a geometry-optimized Ba2Sn4Pd5 structure.

Lattice parameters (Å, degrees): 6.203 6.339 8.603 79.84 68.87 60.70
Element x y z (fractional)
1 Sn 0.463 0.326 0.747
2 Sn 0.789 0.674 0.747
3 Ba 0.863 0.000 0.274
4 Pd 0.500 0.000 0.000
5 Pd 0.000 0.500 0.000
6 Pd 0.250 0.500 0.500
7 Pd 0.500 0.500 0.000
8 Sn 0.537 0.674 0.253
9 Sn 0.211 0.326 0.253
10 Ba 0.137 0.000 0.726
11 Pd 0.750 0.500 0.500

Calculated values
The energy of formation from the pure elements comes out at -7.08 eV/f.u. As for the total magnetization: 0.0 Bohr magnetons per cell. Its space group is No. 69.



12.
Density functional theory data (GGA-PBE) for a geometry-optimized YPHRu2 structure.

Lattice parameters (Å, degrees): 3.636 5.601 7.231 90.00 90.00 108.94
Element x y z (fractional)
1 Y 0.553 0.107 0.250
2 Ru 0.839 0.678 0.058
3 Ru 0.161 0.322 0.558
4 P 0.727 0.454 0.750
5 P 0.273 0.546 0.250
6 H 0.000 0.000 0.500
7 Ru 0.839 0.678 0.442
8 Ru 0.161 0.322 0.942
9 H 0.000 0.000 0.000
10 Y 0.447 0.893 0.750

Calculated values
As for the total magnetization: 0.0 Bohr magnetons per cell. Its space group is No. 63.



13.
Density functional theory data (GGA-PBE) for a geometry-optimized K4Y3GeO8 structure.

Lattice parameters (Å, degrees): 6.872 7.401 6.873 117.66 120.00 90.00
Element x y z (fractional)
1 K 0.000 0.000 0.000
2 K 0.000 0.000 0.500
3 O 0.223 0.684 0.446
4 O 0.738 0.684 0.961
5 K 0.500 0.000 0.000
6 O 0.223 0.684 0.961
7 Y 0.500 0.500 0.000
8 O 0.729 0.687 0.458
9 Y 0.500 0.500 0.500
10 K 0.500 0.000 0.500
11 O 0.271 0.313 0.542
12 O 0.262 0.316 0.039
13 Y 0.000 0.500 0.500
14 O 0.777 0.316 0.039
15 O 0.777 0.316 0.554
16 Ge 0.000 0.500 0.000

Calculated values
As for the total magnetization: 0.0 Bohr magnetons per cell. Its space group is No. 166.



14.
Density functional theory data (GGA-PBE) for a geometry-optimized Pr4In5Hg structure.

Lattice parameters (Å, degrees): 7.735 10.480 7.638 90.00 90.00 90.00
Element x y z (fractional)
1 Pr 0.474 0.810 0.500
2 In 0.168 0.813 0.808
3 Pr 0.208 0.500 0.740
4 In 0.168 0.187 0.808
5 In 0.881 0.500 0.000
6 In 0.168 0.813 0.192
7 In 0.832 0.313 0.692
8 Hg 0.558 0.500 0.500
9 Pr 0.526 0.690 0.000
10 Pr 0.526 0.310 0.000
11 In 0.832 0.687 0.692
12 In 0.832 0.313 0.308
13 Pr 0.208 0.500 0.260
14 Pr 0.792 0.000 0.240
15 In 0.168 0.187 0.192
16 Hg 0.442 0.000 0.000
17 Pr 0.474 0.190 0.500
18 In 0.832 0.687 0.308
19 In 0.119 0.000 0.500
20 Pr 0.792 0.000 0.760

Calculated values
The energy of formation from the pure elements comes out at -1.86 eV/f.u. As for the total magnetization: 0.0 Bohr magnetons per cell. Its space group is No. 59.



15.
Density functional theory data (GGA-PBE) for a geometry-optimized YNb2B structure.

Lattice parameters (Å, degrees): 7.549 7.549 5.933 50.50 50.50 90.00
Element x y z (fractional)
1 Nb 0.875 0.785 0.750
2 B 0.500 0.500 0.000
3 Y 0.750 0.250 0.500
4 Nb 0.375 0.465 0.750
5 Y 0.000 0.000 0.000
6 Nb 0.215 0.625 0.250
7 Nb 0.535 0.125 0.250
8 B 0.250 0.750 0.500

Calculated values
The energy of formation from the pure elements comes out at 1.24 eV/f.u. As for the total magnetization: 0.0 Bohr magnetons per cell. Its space group is No. 122.



16.
Density functional theory data (GGA-PBE) for a geometry-optimized Mn7As structure.

Lattice parameters (Å, degrees): 5.123 5.123 5.123 60.00 60.00 60.00
Element x y z (fractional)
1 As 0.000 0.000 0.000
2 Mn 0.500 0.500 0.500
3 Mn 0.500 0.500 0.000
4 Mn 0.000 0.500 0.500
5 Mn 0.000 0.500 0.000
6 Mn 0.500 0.000 0.000
7 Mn 0.500 0.000 0.500
8 Mn 0.000 0.000 0.500

Calculated values
The energy of formation from the pure elements comes out at 0.26 eV/f.u. As for the total magnetization: 8.7 Bohr magnetons per cell. Its space group is No. 225.



17.
Density functional theory data (GGA-PBE) for a geometry-optimized CsSc2Ni structure.

Lattice parameters (Å, degrees): 10.351 10.351 10.351 21.32 21.32 21.32
Element x y z (fractional)
1 Sc 0.875 0.875 0.875
2 Sc 0.125 0.125 0.125
3 Cs 0.000 0.000 0.000
4 Ni 0.500 0.500 0.500

Calculated values
The energy of formation from the pure elements comes out at 0.72 eV/f.u. As for the total magnetization: 0.0 Bohr magnetons per cell. Its space group is No. 166.



18.
Density functional theory data (GGA-PBE) for a geometry-optimized Li2HfSiS structure.

Lattice parameters (Å, degrees): 5.567 4.902 5.567 90.00 90.00 90.00
Element x y z (fractional)
1 S 0.500 0.500 0.500
2 Hf 0.000 0.000 0.000
3 Li 0.000 0.000 0.500
4 Li 0.500 0.000 0.000
5 Si 0.000 0.500 0.000

Calculated values
As for the total magnetization: 0.9 Bohr magnetons per cell. Its space group is No. 123.



19.
Density functional theory data (GGA-PBE) for a geometry-optimized SrIrPt2 structure.

Lattice parameters (Å, degrees): 4.743 4.743 4.743 60.00 60.00 60.00
Element x y z (fractional)
1 Pt 0.250 0.250 0.250
2 Sr 0.750 0.750 0.750
3 Ir 0.500 0.500 0.500
4 Pt 0.000 0.000 0.000

Calculated values
The energy of formation from the pure elements comes out at 0.97 eV/f.u. As for the total magnetization: 0.9 Bohr magnetons per cell. Its space group is No. 216.



Number 1: total DFT energy (no corrections) -690.77 eV per cell, D(E_F) 41.21 states/eV/cell. Number 2: total DFT energy (no corrections) -80.27 eV per cell, D(E_F) 9.85 states/eV/cell. Number 3: total DFT energy (no corrections) -66.51 eV per cell, D(E_F) 15.83 states/eV/cell. Number 4: total DFT energy (no corrections) -38.30 eV per cell, D(E_F) 3.96 states/eV/cell. Number 5: total DFT energy (no corrections) -81.80 eV per cell, D(E_F) 9.63 states/eV/cell. Number 6: total DFT energy (no corrections) -57.20 eV per cell, D(E_F) 4.54 states/eV/cell. Number 7: total DFT energy (no corrections) -15.09 eV per cell, D(E_F) 28.56 states/eV/cell. Number 8: total DFT energy (no corrections) -52.00 eV per cell, D(E_F) 7.56 states/eV/cell. Number 9: total DFT energy (no corrections) -36.58 eV per cell, D(E_F) 12.97 states/eV/cell. Number 10: total DFT energy (no corrections) -87.01 eV per cell, D(E_F) 10.11 states/eV/cell. Number 11: total DFT energy (no corrections) -52.90 eV per cell, D(E_F) 6.29 states/eV/cell. Number 12: total DFT energy (no corrections) -73.68 eV per cell, D(E_F) 9.00 states/eV/cell. Number 13: total DFT energy (no corrections) -105.45 eV per cell, D(E_F) 1.64 states/eV/cell. Number 14: total DFT energy (no corrections) -69.94 eV per cell, D(E_F) 17.98 states/eV/cell. Number 15: total DFT energy (no corrections) -64.08 eV per cell, D(E_F) 13.52 states/eV/cell. Number 16: total DFT energy (no corrections) -68.58 eV per cell, D(E_F) 8.06 states/eV/cell. Number 17: total DFT energy (no corrections) -18.58 eV per cell, D(E_F) 7.74 states/eV/cell. Number 18: total DFT energy (no corrections) -17.26 eV per cell, D(E_F) 5.64 states/eV/cell. Number 19: total DFT energy (no corrections) -21.66 eV per cell, D(E_F) 6.29 states/eV/cell.